A plane-wave DFT calculation with PBE was carried out for crystalline Sr2ZnAg2 at its relaxed geometry.

Structure (POSCAR):
```
Sr2ZnAg2
1.0
-7.9406 -0.7301 0.7568
0.9936 -7.0968 3.5787
0.1925 2.0359 3.9839
Sr Zn Ag
4 2 4
direct
0.1773 0.6773 0.5000
0.6773 0.8227 0.5000
0.8227 0.3227 0.5000
0.3227 0.1773 0.5000
0.0000 0.0000 0.0000
0.5000 0.5000 0.0000
0.3744 0.8744 0.0000
0.8744 0.6256 0.0000
0.6256 0.1256 0.0000
0.1256 0.3744 0.0000
```

The total magnetic moment comes out at 0.00 μB per atom. Its space group is No. 127. The value obtained for the excess energy over the best structure of this formula in the dataset is 85.9 meV per atom.